(1)
# KTeAs2Se GGA-PBE relaxed
# - Energy relative to the elements, uncorrected: 679 kJ/mol of formula units
# - E above lowest polymorph: 1120 meV per atom
# - D(E_F): 9.277 states/eV per cell
# - Total moment: 0.000 μB/atom
# - DFT total energy: -9.99 eV for the cell shown
data_KTeAs2Se
_chemical_formula_sum 'K1 Te1 As2 Se1'
_symmetry_space_group_name_H-M 'P 4/m m m'
_symmetry_Int_Tables_number 123
_symmetry_space_group_name_Hall '-P 4 2'
_cell_length_a 5.532
_cell_length_b 5.532
_cell_length_c 5.433
_cell_angle_alpha 90.00
_cell_angle_beta 90.00
_cell_angle_gamma 90.00
loop_
_atom_site_label
_atom_site_fract_x
_atom_site_fract_y
_atom_site_fract_z
K1 0.000 0.000 0.000
Te1 0.500 0.500 0.500
As1 0.000 0.500 0.000
Se1 0.000 0.000 0.500

(2)
# CaNb2Au2 GGA-PBE relaxed
# - E above lowest polymorph: 0 meV per atom
# - Energy relative to the elements: -11 kJ per mole of atoms
# - D(E_F): 11.574 states/eV per cell
# - Total moment: 0.000 μB/atom
# - DFT total energy: -58.58 eV for the cell shown
data_CaNb2Au2
_chemical_formula_sum 'Ca2 Nb4 Au4'
_symmetry_space_group_name_H-M 'I 4/m m m'
_symmetry_Int_Tables_number 139
_symmetry_space_group_name_Hall '-I 4 2'
_cell_length_a 3.902
_cell_length_b 3.902
_cell_length_c 14.101
_cell_angle_alpha 90.00
_cell_angle_beta 90.00
_cell_angle_gamma 90.00
loop_
_atom_site_label
_atom_site_fract_x
_atom_site_fract_y
_atom_site_fract_z
Ca1 0.000 0.000 0.000
Nb1 0.000 0.500 0.250
Au1 0.000 0.000 0.401

(3)
# CdH GGA-PBE relaxed
# - E above lowest polymorph: 162 meV per atom
# - D(E_F): 5.540 states/eV per cell
# - Total moment: 0.000 μB/atom
# - DFT total energy: -58.85 eV for the cell shown
data_CdH
_chemical_formula_sum 'Cd16 H16'
_symmetry_space_group_name_H-M 'F d d d'
_symmetry_Int_Tables_number 70
_cell_length_a 5.375
_cell_length_b 9.506
_cell_length_c 10.888
_cell_angle_alpha 90.00
_cell_angle_beta 90.00
_cell_angle_gamma 90.00
loop_
_symmetry_equiv_pos_as_xyz
'x,y,z'
'-x,-y,-z'
'-x+1/4,-y+1/4,z'
'x+1/4,y+1/4,-z'
'x,-y+1/4,-z+1/4'
'-x,y+1/4,z+1/4'
'-x+1/4,y,-z+1/4'
'x+1/4,-y,z+1/4'
'x,y+1/2,z+1/2'
'-x,-y+1/2,-z+1/2'
'-x+1/4,-y+3/4,z+1/2'
'x+1/4,y+3/4,-z+1/2'
'x,-y+3/4,-z+3/4'
'-x,y+3/4,z+3/4'
'-x+1/4,y+1/2,-z+3/4'
'x+1/4,-y+1/2,z+3/4'
'x+1/2,y,z+1/2'
'-x+1/2,-y,-z+1/2'
'-x+3/4,-y+1/4,z+1/2'
'x+3/4,y+1/4,-z+1/2'
'x+1/2,-y+1/4,-z+3/4'
'-x+1/2,y+1/4,z+3/4'
'-x+3/4,y,-z+3/4'
'x+3/4,-y,z+3/4'
'x+1/2,y+1/2,z'
'-x+1/2,-y+1/2,-z'
'-x+3/4,-y+3/4,z'
'x+3/4,y+3/4,-z'
'x+1/2,-y+3/4,-z+1/4'
'-x+1/2,y+3/4,z+1/4'
'-x+3/4,y+1/2,-z+1/4'
'x+3/4,-y+1/2,z+1/4'
loop_
_atom_site_label
_atom_site_fract_x
_atom_site_fract_y
_atom_site_fract_z
Cd1 0.125 0.274 0.125
H1 0.125 0.125 0.456

(4)
# La6Sm2Tm5 GGA-PBE relaxed
# - Energy relative to the elements: 11 kJ per mole of atoms
# - D(E_F): 37.109 states/eV per cell
# - Total moment: 0.000 μB/atom
# - DFT total energy: -119.74 eV for the cell shown
data_La6Sm2Tm5
_chemical_formula_sum 'La12 Sm4 Tm10'
_symmetry_space_group_name_H-M 'P b a m'
_symmetry_Int_Tables_number 55
_symmetry_space_group_name_Hall '-P 2 2ab'
_cell_length_a 11.935
_cell_length_b 20.629
_cell_length_c 3.639
_cell_angle_alpha 90.00
_cell_angle_beta 90.00
_cell_angle_gamma 90.00
loop_
_atom_site_label
_atom_site_fract_x
_atom_site_fract_y
_atom_site_fract_z
La1 0.045 0.079 0.000
La2 0.074 0.363 0.000
La3 0.182 0.625 0.500
Sm1 0.165 0.786 0.000
Tm1 0.000 0.500 0.500
Tm2 0.095 0.223 0.500
Tm3 0.209 0.943 0.500

(5)
# LaSi GGA-PBE relaxed
# - Energy relative to the elements, uncorrected: -95 kJ/mol of formula units
# - D(E_F): 1.188 states/eV per cell
# - Total moment: 0.000 μB/atom
# - DFT total energy: -11.34 eV for the cell shown
data_LaSi
_chemical_formula_sum 'La1 Si1'
_symmetry_space_group_name_H-M 'P 4/m m m'
_symmetry_Int_Tables_number 123
_symmetry_space_group_name_Hall '-P 4 2'
_cell_length_a 3.458
_cell_length_b 3.458
_cell_length_c 4.158
_cell_angle_alpha 90.00
_cell_angle_beta 90.00
_cell_angle_gamma 90.00
loop_
_atom_site_label
_atom_site_fract_x
_atom_site_fract_y
_atom_site_fract_z
La1 0.000 0.000 0.000
Si1 0.500 0.500 0.500

(6)
# CdSb2 GGA-PBE relaxed
# - Energy relative to the elements, uncorrected: 31 kJ/mol of formula units
# - D(E_F): 6.640 states/eV per cell
# - Total moment: 0.000 μB/atom
# - DFT total energy: -35.34 eV for the cell shown
data_CdSb2
_chemical_formula_sum 'Cd4 Sb8'
_symmetry_space_group_name_H-M 'C m c m'
_symmetry_Int_Tables_number 63
_symmetry_space_group_name_Hall '-C 2c 2'
_cell_length_a 3.574
_cell_length_b 15.121
_cell_length_c 6.153
_cell_angle_alpha 90.00
_cell_angle_beta 90.00
_cell_angle_gamma 90.00
loop_
_atom_site_label
_atom_site_fract_x
_atom_site_fract_y
_atom_site_fract_z
Cd1 0.000 0.168 0.250
Sb1 0.000 0.164 0.750
Sb2 0.000 0.498 0.750

(7)
# ThHg GGA-PBE relaxed
# - Energy relative to the elements: -9 kJ per mole of atoms
# - D(E_F): 9.066 states/eV per cell
# - Total moment: 0.000 μB/atom
# - DFT total energy: -23.73 eV for the cell shown
data_ThHg
_chemical_formula_sum 'Th3 Hg3'
_symmetry_space_group_name_H-M 'R -3 m'
_symmetry_Int_Tables_number 166
_symmetry_space_group_name_Hall '-R 3 2"'
_cell_length_a 3.5250
_cell_length_b 3.5250
_cell_length_c 15.9699
_cell_angle_alpha 90.00
_cell_angle_beta 90.00
_cell_angle_gamma 120.00
loop_
_atom_site_label
_atom_site_fract_x
_atom_site_fract_y
_atom_site_fract_z
Th1 0.0000 0.0000 0.0000
Hg1 0.0000 0.0000 0.5000

(8)
# KNiI GGA-PBE relaxed
# - Energy relative to the elements, uncorrected: -85 kJ/mol of formula units
# - E above lowest polymorph: 27 meV per atom
# - D(E_F): 3.799 states/eV per cell
# - Total moment: 0.000 μB/atom
# - DFT total energy: -18.62 eV for the cell shown
data_KNiI
_chemical_formula_sum 'K2 Ni2 I2'
_symmetry_space_group_name_H-M 'P 1 m 1'
_symmetry_Int_Tables_number 6
_symmetry_space_group_name_Hall 'P -2y'
_cell_length_a 5.207
_cell_length_b 4.449
_cell_length_c 9.075
_cell_angle_alpha 90.00
_cell_angle_beta 106.60
_cell_angle_gamma 90.00
loop_
_atom_site_label
_atom_site_fract_x
_atom_site_fract_y
_atom_site_fract_z
K1 0.000 0.000 0.000
K2 0.244 0.000 0.492
Ni1 0.625 0.000 0.251
Ni2 0.696 0.500 0.397
I1 0.560 0.500 0.121
I2 0.835 0.500 0.676